This record from Alexandria via LeMat-Bulk describes a relaxed MnCdFeF6 crystal. The functional is PBE+U.

Properties
The calculation puts the total magnetization at 9.000 μB per formula unit. The total energy comes out at -5.25 eV/atom. As for the calculated density: 4400 kg/m3.

abc: 4.987 4.987 10.231
angles: 90.00 90.00 90.00
Space group P4_2nm (No. 102)
Asymmetric unit:
Mn 0.000 0.000 0.000 x2
Cd 0.000 0.000 0.667 x2
Fe 0.000 0.000 0.334 x2
F 0.185 0.185 0.169 x4
F 0.199 0.199 0.492 x4
F 0.207 0.207 0.841 x4